LaTlTeI2: optimized geometry, PBEsol.

Results
crystal system = tetragonal

a b c (Å): 6.184 6.184 6.103
angles (deg): 90.00 90.00 90.00
Space group P4/mmm (No. 123)
Asymmetric unit:
1 La 0.000 0.000 0.000 x1
2 Tl 0.500 0.500 0.500 x1
3 Te 0.000 0.000 0.500 x1
4 I 0.000 0.500 0.000 x2

***

LaTlI2: optimized geometry, PBEsol.

Results
crystal system = cubic
DOS at the Fermi energy = 21.94 states/eV per cell

a b c (Å): 7.942 7.942 7.942
angles (deg): 90.00 90.00 90.00
Space group Fm-3m (No. 225)
Asymmetric unit:
1 La 0.000 0.000 0.000 x4
2 Tl 0.000 0.000 0.500 x4
3 I 0.250 0.250 0.250 x8

***

La3ZnI: optimized geometry, PBEsol.

Results
crystal system = cubic
DOS at the Fermi energy = 6.56 states/eV per cell

a b c (Å): 5.648 5.648 5.648
angles (deg): 90.00 90.00 90.00
Space group Pm-3m (No. 221)
Asymmetric unit:
1 La 0.000 0.000 0.500 x3
2 Zn 0.000 0.000 0.000 x1
3 I 0.500 0.500 0.500 x1

***

LaZrI2: optimized geometry, PBEsol.

Results
crystal system = cubic
DOS at the Fermi energy = 15.10 states/eV per cell

a b c (Å): 7.459 7.459 7.459
angles (deg): 90.00 90.00 90.00
Space group Fm-3m (No. 225)
Asymmetric unit:
1 La 0.000 0.000 0.000 x4
2 Zr 0.000 0.000 0.500 x4
3 I 0.250 0.250 0.250 x8

***

LaZr2I: optimized geometry, PBEsol.

Results
crystal system = cubic
DOS at the Fermi energy = 21.06 states/eV per cell

a b c (Å): 7.193 7.193 7.193
angles (deg): 90.00 90.00 90.00
Space group Fm-3m (No. 225)
Asymmetric unit:
1 La 0.000 0.000 0.000 x4
2 Zr 0.250 0.250 0.250 x8
3 I 0.000 0.000 0.500 x4

***

LaZr3I: optimized geometry, PBEsol.

Results
crystal system = cubic
DOS at the Fermi energy = 3.95 states/eV per cell

a b c (Å): 5.149 5.149 5.149
angles (deg): 90.00 90.00 90.00
Space group Pm-3m (No. 221)
Asymmetric unit:
1 La 0.000 0.000 0.000 x1
2 Zr 0.000 0.000 0.500 x3
3 I 0.500 0.500 0.500 x1

***

LiMnI3: optimized geometry, PBEsol.

Results
crystal system = cubic
DOS at the Fermi energy = 3.05 states/eV per cell

a b c (Å): 5.335 5.335 5.335
angles (deg): 90.00 90.00 90.00
Space group Pm-3m (No. 221)
Asymmetric unit:
1 Li 0.000 0.000 0.000 x1
2 Mn 0.500 0.500 0.500 x1
3 I 0.000 0.000 0.500 x3

***

LiMn2I: optimized geometry, PBEsol.

Results
crystal system = tetragonal
DOS at the Fermi energy = 12.89 states/eV per cell

a b c (Å): 3.797 3.797 21.912
angles (deg): 90.00 90.00 90.00
Space group I-42d (No. 122)
Asymmetric unit:
1 Li 0.000 0.000 0.000 x4
2 Mn 0.247 0.250 0.625 x8
3 I 0.000 0.000 0.500 x4

***

LiMnIN2: optimized geometry, PBEsol.

Results
crystal system = tetragonal
DOS at the Fermi energy = 2.96 states/eV per cell

a b c (Å): 3.869 3.869 5.225
angles (deg): 90.00 90.00 90.00
Space group P4/mmm (No. 123)
Asymmetric unit:
1 Li 0.000 0.000 0.000 x1
2 Mn 0.500 0.500 0.500 x1
3 I 0.000 0.000 0.500 x1
4 N 0.000 0.500 0.000 x2

***

LiMnIO2: optimized geometry, PBEsol.

Results
crystal system = tetragonal
DOS at the Fermi energy = 2.63 states/eV per cell

a b c (Å): 3.880 3.880 5.076
angles (deg): 90.00 90.00 90.00
Space group P4/mmm (No. 123)
Asymmetric unit:
1 Li 0.000 0.000 0.000 x1
2 Mn 0.500 0.500 0.500 x1
3 I 0.000 0.000 0.500 x1
4 O 0.000 0.500 0.000 x2

***

LiMnTeI2: optimized geometry, PBEsol.

Results
crystal system = tetragonal
DOS at the Fermi energy = 4.33 states/eV per cell

a b c (Å): 5.239 5.239 5.217
angles (deg): 90.00 90.00 90.00
Space group P4/mmm (No. 123)
Asymmetric unit:
1 Li 0.000 0.000 0.000 x1
2 Mn 0.500 0.500 0.500 x1
3 Te 0.000 0.000 0.500 x1
4 I 0.000 0.500 0.000 x2

***

LiIN3: optimized geometry, PBEsol.

Results
crystal system = cubic
DOS at the Fermi energy = 2.65 states/eV per cell

a b c (Å): 3.962 3.962 3.962
angles (deg): 90.00 90.00 90.00
Space group Pm-3m (No. 221)
Asymmetric unit:
1 Li 0.000 0.000 0.000 x1
2 I 0.500 0.500 0.500 x1
3 N 0.000 0.500 0.500 x3

***

LiNiIN2: optimized geometry, PBEsol.

Results
crystal system = tetragonal
DOS at the Fermi energy = 3.59 states/eV per cell

a b c (Å): 3.653 3.653 5.485
angles (deg): 90.00 90.00 90.00
Space group P4/mmm (No. 123)
Asymmetric unit:
1 Li 0.000 0.000 0.000 x1
2 Ni 0.500 0.500 0.500 x1
3 I 0.000 0.000 0.500 x1
4 N 0.000 0.500 0.000 x2

***

LiINO2: optimized geometry, PBEsol.

Results
crystal system = tetragonal
DOS at the Fermi energy = 2.67 states/eV per cell

a b c (Å): 3.611 3.611 3.826
angles (deg): 90.00 90.00 90.00
Space group P4/mmm (No. 123)
Asymmetric unit:
1 Li 0.000 0.000 0.000 x1
2 I 0.500 0.500 0.500 x1
3 N 0.000 0.000 0.500 x1
4 O 0.000 0.500 0.000 x2

***

LiPbI2N: optimized geometry, PBEsol.

Results
crystal system = tetragonal
DOS at the Fermi energy = 1.13 states/eV per cell

a b c (Å): 5.564 5.564 3.995
angles (deg): 90.00 90.00 90.00
Space group P4/mmm (No. 123)
Asymmetric unit:
1 Li 0.000 0.000 0.000 x1
2 Pb 0.500 0.500 0.500 x1
3 I 0.000 0.500 0.000 x2
4 N 0.000 0.000 0.500 x1

***

LiSI2N: optimized geometry, PBEsol.

Results
crystal system = tetragonal
DOS at the Fermi energy = 2.26 states/eV per cell

a b c (Å): 5.897 5.897 3.415
angles (deg): 90.00 90.00 90.00
Space group P4/mmm (No. 123)
Asymmetric unit:
1 Li 0.000 0.000 0.000 x1
2 S 0.500 0.500 0.500 x1
3 I 0.000 0.500 0.500 x2
4 N 0.500 0.500 0.000 x1

***

Li2SeIN: optimized geometry, PBEsol.

Results
crystal system = tetragonal
DOS at the Fermi energy = 4.81 states/eV per cell

a b c (Å): 5.326 5.326 3.993
angles (deg): 90.00 90.00 90.00
Space group P4/mmm (No. 123)
Asymmetric unit:
1 Li 0.000 0.500 0.000 x2
2 Se 0.000 0.000 0.500 x1
3 I 0.500 0.500 0.000 x1
4 N 0.500 0.500 0.500 x1

***

LiSnI2N: optimized geometry, PBEsol.

Results
crystal system = tetragonal
DOS at the Fermi energy = 1.82 states/eV per cell

a b c (Å): 6.040 6.040 3.885
angles (deg): 90.00 90.00 90.00
Space group P4/mmm (No. 123)
Asymmetric unit:
1 Li 0.000 0.000 0.000 x1
2 Sn 0.500 0.500 0.500 x1
3 I 0.000 0.500 0.500 x2
4 N 0.500 0.500 0.000 x1

***

LiTaIN2: optimized geometry, PBEsol.

Results
crystal system = tetragonal
DOS at the Fermi energy = 4.05 states/eV per cell

a b c (Å): 3.899 3.899 4.466
angles (deg): 90.00 90.00 90.00
Space group P4/mmm (No. 123)
Asymmetric unit:
1 Li 0.000 0.000 0.000 x1
2 Ta 0.500 0.500 0.500 x1
3 I 0.000 0.000 0.500 x1
4 N 0.000 0.500 0.000 x2

***

LiYIN2: optimized geometry, PBEsol.

Results
crystal system = tetragonal
DOS at the Fermi energy = 2.13 states/eV per cell

a b c (Å): 4.210 4.210 4.565
angles (deg): 90.00 90.00 90.00
Space group P4/mmm (No. 123)
Asymmetric unit:
1 Li 0.000 0.000 0.000 x1
2 Y 0.500 0.500 0.500 x1
3 I 0.000 0.000 0.500 x1
4 N 0.000 0.500 0.000 x2

***

| no. | magnetic moment (μB per cell) | uncorrected formation energy (eV/atom) |
| --- | --- | --- |
| 1 | 0.00 | -0.877 |
| 2 | 1.33 | -0.750 |
| 3 | 0.01 | -0.021 |
| 4 | 0.01 | -0.494 |
| 5 | 0.00 | 0.234 |
| 6 | 0.00 | 1.205 |
| 7 | 5.12 | 0.096 |
| 8 | 32.78 | 0.573 |
| 9 | 7.15 | 1.657 |
| 10 | 6.90 | 0.153 |
| 11 | 4.94 | 0.312 |
| 12 | 0.00 | 1.691 |
| 13 | 3.09 | 1.720 |
| 14 | 1.63 | 0.755 |
| 15 | 2.18 | 0.309 |
| 16 | 0.00 | 0.275 |
| 17 | 0.01 | 0.441 |
| 18 | 0.00 | 0.093 |
| 19 | 0.72 | 1.744 |
| 20 | 2.93 | 0.690 |